# 1
{"formula": "PrTcSb", "functional": "PBE", "state": "optimized geometry", "cell": [[0.000, 3.436, 3.436], [3.436, 0.000, 3.436], [3.436, 3.436, 0.000]], "species": ["Pr", "Sb", "Tc"], "frac_coords": [[0.000, 0.000, 0.000], [0.750, 0.750, 0.750], [0.500, 0.500, 0.500]], "e_above_lowest_polymorph_ev_per_atom": 0.000}



# 2
{"formula": "PrSbTe", "functional": "PBE", "state": "optimized geometry", "cell": [[4.386, -2.789, 0.788], [-0.247, -5.238, 0.369], [1.935, -3.001, -3.858]], "species": ["Pr", "Sb", "Te"], "frac_coords": [[0.750, 0.750, 0.750], [0.250, 0.250, 0.250], [0.000, 0.000, 0.000]], "energy_ev_per_cell": -13.47}